(1)
! Li2Te2Pd3, relaxed, DFT PBE; values from VASP
&SYSTEM
  ibrav = 0, nat = 7, ntyp = 3
/
ATOMIC_SPECIES
Li 6.94 Li.upf
Te 127.60 Te.upf
Pd 106.42 Pd.upf
ATOMIC_POSITIONS crystal
Li 0.1056 0.1056 0.2082
Li 0.8944 0.8944 0.7918
Te 0.1659 0.1659 0.6939
Te 0.8341 0.8341 0.3061
Pd 0.3638 0.3638 0.0612
Pd 0.5000 0.5000 0.5000
Pd 0.6362 0.6362 0.9388
CELL_PARAMETERS angstrom
4.8457 -2.1610 0.0000
4.8457 2.1610 0.0000
-1.4490 0.0000 6.2291
! - Raw formation energy: -0.506 eV per atom
! - Energy: -4.176 eV/atom

(2)
! Nd2Ho3Tl, relaxed, DFT PBE; values from VASP
&SYSTEM
  ibrav = 0, nat = 6, ntyp = 3
/
ATOMIC_SPECIES
Nd 144.24 Nd.upf
Ho 164.93 Ho.upf
Tl 204.38 Tl.upf
ATOMIC_POSITIONS crystal
Nd 0.1624 0.8376 0.0000
Nd 0.8376 0.1624 0.0000
Ho 0.0000 0.0000 0.5000
Ho 0.3346 0.6654 0.5000
Ho 0.6654 0.3346 0.5000
Tl 0.5000 0.5000 0.0000
CELL_PARAMETERS angstrom
2.4437 -7.6431 0.0000
2.4437 7.6431 0.0000
0.0000 0.0000 4.9387
! - Energy: -4.367 eV/atom
! - Energy above the most stable polymorph in this dataset: 0 meV per atom
! - Formation enthalpy at 0 K: -0.09 eV/atom

(3)
! Er2TlOs, relaxed, DFT PBE; values from VASP
&SYSTEM
  ibrav = 0, nat = 4, ntyp = 3
/
ATOMIC_SPECIES
Er 167.26 Er.upf
Tl 204.38 Tl.upf
Os 190.23 Os.upf
ATOMIC_POSITIONS crystal
Er 0.2500 0.2500 0.2500
Er 0.7500 0.7500 0.7500
Tl 0.0000 0.0000 0.0000
Os 0.5000 0.5000 0.5000
CELL_PARAMETERS angstrom
0.0000 3.5507 3.5507
3.5507 0.0000 3.5507
3.5507 3.5507 0.0000
! - Energy: -5.855 eV/atom
! - Energy above the most stable polymorph in this dataset: 0 meV per atom
! - Formation enthalpy at 0 K: -0.17 eV/atom

- Among the records above, which one has the highest energy?
  Li2Te2Pd3

- energy of number 1 (Li2Te2Pd3)?
  -4.176 eV/atom

Copy entry 2 word for word.
! Nd2Ho3Tl, relaxed, DFT PBE; values from VASP
&SYSTEM
  ibrav = 0, nat = 6, ntyp = 3
/
ATOMIC_SPECIES
Nd 144.24 Nd.upf
Ho 164.93 Ho.upf
Tl 204.38 Tl.upf
ATOMIC_POSITIONS crystal
Nd 0.1624 0.8376 0.0000
Nd 0.8376 0.1624 0.0000
Ho 0.0000 0.0000 0.5000
Ho 0.3346 0.6654 0.5000
Ho 0.6654 0.3346 0.5000
Tl 0.5000 0.5000 0.0000
CELL_PARAMETERS angstrom
2.4437 -7.6431 0.0000
2.4437 7.6431 0.0000
0.0000 0.0000 4.9387
! - Energy: -4.367 eV/atom
! - Energy above the most stable polymorph in this dataset: 0 meV per atom
! - Formation enthalpy at 0 K: -0.09 eV/atom

- Number 1 is which compound?
  Li2Te2Pd3